Computed, not measured: an optimized crystal structure of Ca2CoSe at the PBE level of DFT.

Results
Uncorrected formation energy in meV per atom: -478

Unit cell a=6.7028 b=6.7028 c=6.7028 alpha=147.31 beta=143.55 gamma=49.76
Last column: nearest neighbours and their distance in Å.
Element x y z (fractional)
Ca (0.0000, 0.0000, 0.0000)  4 Se 2.97, 2 Co 3.30
Ca (0.7395, 0.2395, 0.5000)  4 Co 2.89, 2 Se 3.06
Co (0.2909, 0.7909, 0.5000)  2 Se 2.47
Se (0.4224, 0.4224, 0.0000)  2 Co 2.47

Computed, not measured: an optimized crystal structure of Sm8Co2Ru at the PBE level of DFT.

Results
E_form in eV/atom: -0.074

Unit cell a=9.0953 b=9.0953 c=6.6927 alpha=103.28 beta=103.28 gamma=32.37
Last column: nearest neighbours and their distance in Å.
Element x y z (fractional)
Sm (0.0409, 0.0409, 0.2926)  1 Co 2.90, 2 Ru 3.06
Sm (0.2004, 0.2004, 0.8307)  1 Co 2.63
Sm (0.3282, 0.3282, 0.5300)  1 Co 2.67
Sm (0.4098, 0.4098, 0.0603)  1 Ru 2.99
Sm (0.5902, 0.5902, 0.9397)  1 Ru 2.99
Sm (0.6718, 0.6718, 0.4700)  1 Co 2.67
Sm (0.7996, 0.7996, 0.1693)  1 Co 2.63
Sm (0.9591, 0.9591, 0.7074)  1 Co 2.90, 2 Ru 3.06
Co (0.1985, 0.1985, 0.2222)  3 Sm 2.63-2.90
Co (0.8015, 0.8015, 0.7778)  3 Sm 2.63-2.90
Ru (0.5000, 0.5000, 0.5000)  8 Sm 2.99-3.06

Computed, not measured: an optimized crystal structure of Zn2In2Cu at the PBE level of DFT.

Results
E_form in eV/atom: 0.143

Unit cell a=6.7130 b=6.7130 c=4.3011 alpha=90.00 beta=90.00 gamma=90.00
Last column: nearest neighbours and their distance in Å.
Element x y z (fractional)
Zn (0.1396, 0.3604, 0.0000)  2 Cu 2.59, 1 Zn 2.65, 2 In 2.78
Zn (0.3604, 0.8604, 0.0000)  2 Cu 2.59, 1 Zn 2.65, 2 In 2.78
Zn (0.6396, 0.1396, 0.0000)  2 Cu 2.59, 1 Zn 2.65, 2 In 2.78
Zn (0.8604, 0.6396, 0.0000)  2 Cu 2.59, 1 Zn 2.65, 2 In 2.78
In (0.1743, 0.6743, 0.5000)  6 Zn 2.78-3.02
In (0.3257, 0.1743, 0.5000)  6 Zn 2.78-3.02
In (0.6743, 0.8257, 0.5000)  6 Zn 2.78-3.02
In (0.8257, 0.3257, 0.5000)  6 Zn 2.78-3.02
Cu (0.0000, 0.0000, 0.0000)  4 Zn 2.59
Cu (0.5000, 0.5000, 0.0000)  4 Zn 2.59

Computed, not measured: an optimized crystal structure of Na2Cd4Sn3 at the PBE level of DFT.

Results
E_form in eV/atom: -0.065

Unit cell a=9.2774 b=9.2774 c=8.5330 alpha=90.00 beta=90.00 gamma=137.89
Last column: nearest neighbours and their distance in Å.
Element x y z (fractional)
Na (0.0980, 0.9020, 0.8944)  7 Cd 3.46-3.65, 5 Sn 3.48-3.85, 1 Na 3.84
Na (0.4020, 0.5980, 0.3944)  7 Cd 3.46-3.65, 5 Sn 3.48-3.85, 1 Na 3.84
Na (0.5980, 0.4020, 0.6056)  7 Cd 3.46-3.65, 5 Sn 3.48-3.85, 1 Na 3.84
Na (0.9020, 0.0980, 0.1056)  7 Cd 3.46-3.65, 5 Sn 3.48-3.85, 1 Na 3.84
Cd (0.1725, 0.8275, 0.5177)  5 Sn 2.99-3.06, 2 Cd 3.35
Cd (0.1812, 0.3188, 0.7500)  3 Sn 2.96-2.97
Cd (0.3188, 0.1812, 0.2500)  3 Sn 2.96-2.97
Cd (0.3275, 0.6725, 0.0177)  5 Sn 2.99-3.06, 2 Cd 3.35
Cd (0.6725, 0.3275, 0.9823)  5 Sn 2.99-3.06, 2 Cd 3.35
Cd (0.6812, 0.8188, 0.7500)  3 Sn 2.96-2.97
Cd (0.8188, 0.6812, 0.2500)  3 Sn 2.96-2.97
Cd (0.8275, 0.1725, 0.4823)  5 Sn 2.99-3.06, 2 Cd 3.35
Sn (0.0000, 0.0000, 0.5000)  6 Cd 2.96-2.99
Sn (0.0096, 0.4904, 0.7500)  5 Cd 2.97-3.06
Sn (0.4904, 0.0096, 0.2500)  5 Cd 2.97-3.06
Sn (0.5000, 0.5000, 0.0000)  6 Cd 2.96-2.99
Sn (0.5096, 0.9904, 0.7500)  5 Cd 2.97-3.06
Sn (0.9904, 0.5096, 0.2500)  5 Cd 2.97-3.06

Computed, not measured: an optimized crystal structure of Pr2YHg at the PBE level of DFT.

Results
E_form in eV/atom: -0.239

Unit cell a=5.2876 b=5.2876 c=8.9240 alpha=90.00 beta=90.00 gamma=90.00
Last column: nearest neighbours and their distance in Å.
Element x y z (fractional)
Pr (0.2500, 0.2500, 0.2219)  4 Hg 3.30, 4 Pr 3.63
Pr (0.2500, 0.7500, 0.5000)  8 Pr 3.63-3.74, 4 Y 3.69
Pr (0.7500, 0.2500, 0.5000)  8 Pr 3.63-3.74, 4 Y 3.69
Pr (0.7500, 0.7500, 0.7781)  4 Hg 3.30, 4 Pr 3.63
Y (0.2500, 0.2500, 0.7880)  4 Hg 3.25
Y (0.7500, 0.7500, 0.2120)  4 Hg 3.25
Hg (0.2500, 0.7500, 0.0000)  4 Y 3.25, 4 Pr 3.30
Hg (0.7500, 0.2500, 0.0000)  4 Y 3.25, 4 Pr 3.30

Computed, not measured: an optimized crystal structure of SmEr4Cd at the PBE level of DFT.

Results
E_form in eV/atom: -0.087

Unit cell a=3.5498 b=3.5498 c=14.0710 alpha=90.00 beta=90.00 gamma=90.00
Last column: nearest neighbours and their distance in Å.
Element x y z (fractional)
Sm (0.0000, 0.0000, 0.0000)  4 Sm 3.55, 8 Er 3.55
Er (0.0000, 0.0000, 0.3537)  4 Cd 3.25, 8 Er 3.52-3.55
Er (0.0000, 0.0000, 0.6463)  4 Cd 3.25, 8 Er 3.52-3.55
Er (0.5000, 0.5000, 0.1787)  8 Er 3.52-3.55, 4 Sm 3.55
Er (0.5000, 0.5000, 0.8213)  8 Er 3.52-3.55, 4 Sm 3.55
Cd (0.5000, 0.5000, 0.5000)  8 Er 3.25, 4 Cd 3.55

Computed, not measured: an optimized crystal structure of Ca2In2Sb at the PBE level of DFT.

Results
Uncorrected formation energy in meV per atom: -420

Unit cell a=9.6967 b=9.6967 c=9.6967 alpha=155.53 beta=155.53 gamma=34.87
Last column: nearest neighbours and their distance in Å.
Element x y z (fractional)
Ca (0.0944, 0.0944, 0.0000)  4 Sb 3.39, 1 Ca 3.49, 4 In 3.54
Ca (0.9056, 0.9056, 0.0000)  4 Sb 3.39, 1 Ca 3.49, 4 In 3.54
In (0.2500, 0.7500, 0.5000)  4 In 2.91
In (0.7500, 0.2500, 0.5000)  4 In 2.91
Sb (0.5000, 0.5000, 0.0000)  8 Ca 3.39

Computed, not measured: an optimized crystal structure of Ta4TlRh at the PBE level of DFT.

Results
E_form in eV/atom: 0.431

Unit cell a=5.4539 b=5.4539 c=5.4539 alpha=60.00 beta=60.00 gamma=60.00
Last column: nearest neighbours and their distance in Å.
Element x y z (fractional)
Ta (0.1243, 0.1243, 0.1243)  6 Ta 2.71-2.74
Ta (0.1243, 0.1243, 0.6271)  6 Ta 2.71-2.74
Ta (0.1243, 0.6271, 0.1243)  6 Ta 2.71-2.74
Ta (0.6271, 0.1243, 0.1243)  6 Ta 2.71-2.74
Tl (0.7500, 0.7500, 0.7500)  12 Ta 3.20, 4 Rh 3.34
Rh (0.5000, 0.5000, 0.5000)  12 Ta 3.20, 4 Tl 3.34

Computed, not measured: an optimized crystal structure of BaAg4Br12 at the PBE level of DFT.

Results
Uncorrected formation energy in meV per atom: -462

Unit cell a=8.9284 b=8.9284 c=8.9284 alpha=109.47 beta=109.47 gamma=109.47
Last column: nearest neighbours and their distance in Å.
Element x y z (fractional)
Ba (0.0000, 0.0000, 0.0000)  12 Br 3.54
Ag (0.0000, 0.0000, 0.5000)  6 Br 2.69
Ag (0.0000, 0.5000, 0.0000)  6 Br 2.69
Ag (0.5000, 0.0000, 0.0000)  6 Br 2.69
Ag (0.5000, 0.5000, 0.5000)  6 Br 2.69
Br (0.1027, 0.2886, 0.8140)  2 Ag 2.69
Br (0.1860, 0.4746, 0.2886)  2 Ag 2.69
Br (0.1860, 0.8973, 0.7114)  2 Ag 2.69
Br (0.2886, 0.1860, 0.4746)  2 Ag 2.69
Br (0.2886, 0.8140, 0.1027)  2 Ag 2.69
Br (0.4746, 0.2886, 0.1860)  2 Ag 2.69
Br (0.5254, 0.7114, 0.8140)  2 Ag 2.69
Br (0.7114, 0.1860, 0.8973)  2 Ag 2.69
Br (0.7114, 0.8140, 0.5254)  2 Ag 2.69
Br (0.8140, 0.1027, 0.2886)  2 Ag 2.69
Br (0.8140, 0.5254, 0.7114)  2 Ag 2.69
Br (0.8973, 0.7114, 0.1860)  2 Ag 2.69

Computed, not measured: an optimized crystal structure of MnCuS2 at the PBE level of DFT.

Results
Uncorrected formation energy in meV per atom: -51

Unit cell a=8.1313 b=8.1313 c=4.8101 alpha=90.00 beta=90.00 gamma=152.14
Last column: nearest neighbours and their distance in Å.
Element x y z (fractional)
Mn (0.0901, 0.9099, 0.7500)  1 S 2.14
Mn (0.9099, 0.0901, 0.2500)  1 S 2.14
Cu (0.3661, 0.6339, 0.7500)  3 S 2.21-2.26
Cu (0.6339, 0.3661, 0.2500)  3 S 2.21-2.26
S (0.0623, 0.9377, 0.2500)  2 Cu 2.26, 3 Mn 2.41-2.44
S (0.2259, 0.7741, 0.7500)  1 Mn 2.14, 1 Cu 2.21
S (0.7741, 0.2259, 0.2500)  1 Mn 2.14, 1 Cu 2.21
S (0.9377, 0.0623, 0.7500)  2 Cu 2.26, 3 Mn 2.41-2.44

Computed, not measured: an optimized crystal structure of RePd3Pb at the PBE level of DFT.

Results
E_form in eV/atom: 0.926

Unit cell a=4.8706 b=4.8706 c=4.8706 alpha=90.00 beta=90.00 gamma=90.00
Last column: nearest neighbours and their distance in Å.
Element x y z (fractional)
Re (0.0000, 0.0000, 0.0000)  6 Pd 2.44
Pd (0.0000, 0.0000, 0.5000)  2 Re 2.44
Pd (0.0000, 0.5000, 0.0000)  2 Re 2.44
Pd (0.5000, 0.0000, 0.0000)  2 Re 2.44
Pb (0.5000, 0.5000, 0.5000)  12 Pd 3.44

Computed, not measured: an optimized crystal structure of Nd4HoSn2 at the PBE level of DFT.

Results
E_form in eV/atom: -0.259

Unit cell a=9.9052 b=9.9052 c=9.9052 alpha=32.18 beta=32.18 gamma=32.18
Last column: nearest neighbours and their distance in Å.
Element x y z (fractional)
Nd (0.1246, 0.1246, 0.1246)  3 Ho 3.38, 3 Sn 3.65, 3 Nd 3.75
Nd (0.2802, 0.2802, 0.2802)  4 Sn 3.18-3.19
Nd (0.7198, 0.7198, 0.7198)  4 Sn 3.18-3.19
Nd (0.8754, 0.8754, 0.8754)  3 Ho 3.38, 3 Sn 3.65, 3 Nd 3.75
Ho (0.5000, 0.5000, 0.5000)  2 Sn 3.00
Sn (0.3934, 0.3934, 0.3934)  1 Ho 3.00, 4 Nd 3.18-3.19
Sn (0.6066, 0.6066, 0.6066)  1 Ho 3.00, 4 Nd 3.18-3.19

Computed, not measured: an optimized crystal structure of SmSc2In at the PBE level of DFT.

Results
E_form in eV/atom: -0.104

Unit cell a=10.7539 b=10.7539 c=10.7539 alpha=18.18 beta=18.18 gamma=18.18
Last column: nearest neighbours and their distance in Å.
Element x y z (fractional)
Sm (0.0000, 0.0000, 0.0000)  6 Sm 3.40, 6 Sc 3.44-3.45
Sc (0.2443, 0.2443, 0.2443)  3 In 3.14, 6 Sc 3.40, 3 Sm 3.44
Sc (0.4226, 0.4226, 0.4226)  3 In 3.15, 6 Sc 3.40, 3 Sm 3.45
In (0.8337, 0.8337, 0.8337)  6 Sc 3.14-3.15, 6 In 3.40

Computed, not measured: an optimized crystal structure of CsLiIn2Pd at the PBE level of DFT.

Results
E_form in eV/atom: -0.188

Unit cell a=5.2617 b=5.2617 c=5.5646 alpha=90.00 beta=90.00 gamma=90.00
Last column: nearest neighbours and their distance in Å.
Element x y z (fractional)
Cs (0.0000, 0.0000, 0.0000)  4 Li 3.72, 8 In 3.83
Li (0.5000, 0.5000, 0.0000)  2 Pd 2.78
In (0.0000, 0.5000, 0.5000)  2 Pd 2.63
In (0.5000, 0.0000, 0.5000)  2 Pd 2.63
Pd (0.5000, 0.5000, 0.5000)  4 In 2.63, 2 Li 2.78

Computed, not measured: an optimized crystal structure of ZrTaAl2 at the PBE level of DFT.

Results
E_form in eV/atom: -0.118

Unit cell a=4.9960 b=4.9960 c=5.3652 alpha=97.47 beta=97.47 gamma=34.50
Last column: nearest neighbours and their distance in Å.
Element x y z (fractional)
Zr (0.0000, 0.0000, 0.0000)  6 Al 2.94-3.05, 2 Zr 2.96, 4 Ta 3.06
Ta (0.5000, 0.5000, 0.5000)  6 Al 2.85-2.89, 2 Ta 2.96, 4 Zr 3.06
Al (0.2458, 0.2458, 0.7241)  4 Al 2.83-2.96, 3 Ta 2.85-2.89, 3 Zr 2.94-3.05
Al (0.7542, 0.7542, 0.2759)  4 Al 2.83-2.96, 3 Ta 2.85-2.89, 3 Zr 2.94-3.05